1.
Compound: GdY2Sn6Pb
Source: the Open Quantum Materials Database
Functional: PBE-GGA
Structure: optimized geometry

```
GdY2Sn6Pb
1.0
10.639 5.844 5.915
-11.322 -1.653 -7.172
-2.450 0.712 3.704
Gd Pb Sn Y
1 1 6 2
direct
0.000 0.000 0.000
0.500 0.500 0.500
0.788 0.212 0.000
0.598 0.402 0.000
0.402 0.598 0.000
0.212 0.788 0.000
0.903 0.097 0.500
0.097 0.903 0.500
0.689 0.311 0.500
0.311 0.689 0.500
```

Output
The total DFT energy (no corrections) comes out at -5.0546 eV per atom. As for the space group: Cmmm (65).


2.
Compound: TbTcO4
Source: the Open Quantum Materials Database
Functional: PBE-GGA
Structure: optimized geometry

```
TbTcO4
1.0
3.299 0.000 0.000
-1.429 6.579 0.000
-0.712 -3.080 6.337
O Tb Tc
8 2 2
direct
0.790 0.987 0.077
0.135 0.443 0.129
0.356 0.877 0.286
0.768 0.664 0.479
0.058 0.336 0.522
0.470 0.122 0.714
0.690 0.556 0.872
0.036 0.014 0.923
0.455 0.240 0.280
0.371 0.760 0.720
0.764 0.684 0.209
0.061 0.315 0.791
```

Output
The total DFT energy (no corrections) comes out at -7.7292 eV per atom. As for the space group: P-1 (2).